# 1
## YMnMo (PBE)

Data for a relaxed structure of YMnMo.

**Total energy**: -8.279 eV per atom
**ΔE to the lowest computed polymorph**: 0.288 eV per atom
**ΔE_f**: 0.54 eV per atom
**Total magnetization**: 1.53 μB/f.u.
**Space-group type**: P3m1 (156)

CIF file:
```
data_YMnMo
_chemical_formula_sum 'Y1 Mn1 Mo1'
_space_group_name_H-M_alt 'P 1'
_space_group_IT_number 1
_cell_length_a 3.1898
_cell_length_b 3.1898
_cell_length_c 6.5341
_cell_angle_alpha 90.00
_cell_angle_beta 90.00
_cell_angle_gamma 120.00
loop_
_space_group_symop_operation_xyz
'x,y,z'
loop_
_atom_site_label
_atom_site_fract_x
_atom_site_fract_y
_atom_site_fract_z
Y1 0.6667 0.3333 0.6708
Mo1 0.3333 0.6667 0.2854
Mn1 0.0000 0.0000 0.0438
```

***

# 2
## Y2Mn16Mo (PBE)

Data for a relaxed structure of Y2Mn16Mo.

**Total energy**: -8.955 eV per atom
**ΔE_f**: 0.02 eV per atom
**Total magnetization**: 5.46 μB/f.u.
**Space-group type**: R3m (160)

CIF file:
```
data_Y2Mn16Mo
_chemical_formula_sum 'Y2 Mn16 Mo1'
_space_group_name_H-M_alt 'P 1'
_space_group_IT_number 1
_cell_length_a 6.3710
_cell_length_b 6.3710
_cell_length_c 6.3710
_cell_angle_alpha 86.14
_cell_angle_beta 86.14
_cell_angle_gamma 86.14
loop_
_space_group_symop_operation_xyz
'x,y,z'
loop_
_atom_site_label
_atom_site_fract_x
_atom_site_fract_y
_atom_site_fract_z
Mn1 0.7230 0.2794 0.0023
Mn2 0.9999 0.9999 0.4991
Mn3 0.1038 0.1038 0.1038
Mn4 0.0023 0.2794 0.7230
Mn5 0.2794 0.7230 0.0023
Mn6 0.3545 0.3545 0.8752
Mn7 0.6401 0.6401 0.1263
Mn8 0.9999 0.4991 0.9999
Mn9 0.3545 0.8752 0.3545
Mn10 0.0023 0.7230 0.2794
Mn11 0.7230 0.0023 0.2794
Mn12 0.1263 0.6401 0.6401
Mn13 0.4991 0.9999 0.9999
Mn14 0.8752 0.3545 0.3545
Mn15 0.6401 0.1263 0.6401
Mn16 0.2794 0.0023 0.7230
Y1 0.6430 0.6430 0.6430
Y2 0.3534 0.3534 0.3534
Mo1 0.9008 0.9008 0.9008
```

***

# 3
## YMn3Mo (PBE)

Data for a relaxed structure of YMn3Mo.

**Total energy**: -8.200 eV per atom
**ΔE_f**: 0.76 eV per atom
**Total magnetization**: 7.92 μB/f.u.
**Space-group type**: Pm-3m (221)

CIF file:
```
data_YMn3Mo
_chemical_formula_sum 'Y1 Mn3 Mo1'
_space_group_name_H-M_alt 'P 1'
_space_group_IT_number 1
_cell_length_a 4.6525
_cell_length_b 4.6525
_cell_length_c 4.6525
_cell_angle_alpha 90.00
_cell_angle_beta 90.00
_cell_angle_gamma 90.00
loop_
_space_group_symop_operation_xyz
'x,y,z'
loop_
_atom_site_label
_atom_site_fract_x
_atom_site_fract_y
_atom_site_fract_z
Mo1 0.0000 0.0000 0.0000
Mn1 0.5000 0.0000 0.0000
Mn2 0.0000 0.5000 0.0000
Mn3 0.0000 0.0000 0.5000
Y1 0.5000 0.5000 0.5000
```

***

# 4
## YMn2Mo2 (PBE)

Data for a relaxed structure of YMn2Mo2.

**Total energy**: -8.940 eV per atom
**ΔE to the lowest computed polymorph**: 0.062 eV per atom
**ΔE_f**: 0.35 eV per atom
**Total magnetization**: 1.13 μB/f.u.
**Space-group type**: P4/mbm (127)

CIF file:
```
data_YMn2Mo2
_chemical_formula_sum 'Y2 Mn4 Mo4'
_space_group_name_H-M_alt 'P 1'
_space_group_IT_number 1
_cell_length_a 7.4869
_cell_length_b 7.4869
_cell_length_c 2.8882
_cell_angle_alpha 90.00
_cell_angle_beta 90.00
_cell_angle_gamma 90.00
loop_
_space_group_symop_operation_xyz
'x,y,z'
loop_
_atom_site_label
_atom_site_fract_x
_atom_site_fract_y
_atom_site_fract_z
Mo1 0.1492 0.6492 0.5000
Mo2 0.6492 0.8508 0.5000
Mo3 0.8508 0.3508 0.5000
Mo4 0.3508 0.1492 0.5000
Y1 0.5000 0.5000 0.0000
Y2 0.0000 0.0000 0.0000
Mn1 0.6332 0.1332 0.0000
Mn2 0.1332 0.3668 0.0000
Mn3 0.3668 0.8668 0.0000
Mn4 0.8668 0.6332 0.0000
```

***

# 5
## Y4MnMo (PBE)

Data for a relaxed structure of Y4MnMo.

**Total energy**: -6.614 eV per atom
**ΔE_f**: 1.03 eV per atom
**Total magnetization**: 4.65 μB/f.u.
**Space-group type**: F-43m (216)

CIF file:
```
data_Y4MnMo
_chemical_formula_sum 'Y4 Mn1 Mo1'
_space_group_name_H-M_alt 'P 1'
_space_group_IT_number 1
_cell_length_a 6.0745
_cell_length_b 6.0745
_cell_length_c 6.0745
_cell_angle_alpha 60.00
_cell_angle_beta 60.00
_cell_angle_gamma 60.00
loop_
_space_group_symop_operation_xyz
'x,y,z'
loop_
_atom_site_label
_atom_site_fract_x
_atom_site_fract_y
_atom_site_fract_z
Y1 0.3742 0.3742 0.8775
Y2 0.3742 0.3742 0.3742
Y3 0.3742 0.8775 0.3742
Y4 0.8775 0.3742 0.3742
Mo1 0.0000 0.0000 0.0000
Mn1 0.7500 0.7500 0.7500
```

***

# 6
## YMnMo (PBE)

Data for a relaxed structure of YMnMo.

**Total energy**: -8.567 eV per atom
**ΔE to the lowest computed polymorph**: 0.000 eV per atom
**ΔE_f**: 0.25 eV per atom
**Total magnetization**: 1.37 μB/f.u.
**Space-group type**: I4mm (107)

CIF file:
```
data_YMnMo
_chemical_formula_sum 'Y1 Mn1 Mo1'
_space_group_name_H-M_alt 'P 1'
_space_group_IT_number 1
_cell_length_a 5.9791
_cell_length_b 5.9791
_cell_length_c 3.1709
_cell_angle_alpha 74.62
_cell_angle_beta 74.62
_cell_angle_gamma 30.76
loop_
_space_group_symop_operation_xyz
'x,y,z'
loop_
_atom_site_label
_atom_site_fract_x
_atom_site_fract_y
_atom_site_fract_z
Mo1 0.3672 0.3672 0.6328
Y1 0.6654 0.6655 0.3346
Mn1 0.9673 0.9673 0.0326
```

***

Question: Number 4 is which compound?
Answer: YMn2Mo2